# 1
Computed, not measured: crystalline BaBiB at its relaxed geometry at the GGA-PBE level of DFT.

Output
As for the volume: 380 Å³ per cell. The total magnetization comes out at 0.00 μB/f.u. For the formation energy, the calculation gives 0.25 eV/atom. For the raw total energy, the calculation gives -46.97 eV/cell. The density of states at the Fermi level comes out at 0.26 states/eV/f.u.

Lattice parameters (Å, degrees): 13.4886 4.0085 7.1791 90.00 101.70 90.00
With the nearest neighbours (Å) after each atom.
Space group C2/m (No. 12)
Inequivalent atoms, fractional coordinates:
Ba 0.1190 0.0000 0.2406 [4 per cell]  2 B 2.92
Bi 0.1613 0.0000 0.7654 [4 per cell]  3 B 2.49-2.76
B 0.1596 0.5000 0.9698 [4 per cell]  3 Bi 2.49-2.76

---

# 2
Computed, not measured: crystalline Ba2YHoS5 at its relaxed geometry at the GGA-PBE level of DFT.

Output
For the formation energy from raw total energies, the calculation gives -2.073 eV/atom. As for the volume: 1008 Å³ per cell. The total magnetization comes out at 0.00 μB/f.u. For the raw total energy, the calculation gives -216.72 eV/cell. The density of states at the Fermi level comes out at 0.00 states/eV/f.u.

Lattice parameters (Å, degrees): 4.2671 17.3424 13.6152 90.00 90.00 90.00
With the nearest neighbours (Å) after each atom.
Space group Cmc2_1 (No. 36)
Inequivalent atoms, fractional coordinates:
Ba 0.0000 0.1033 0.0000 [4 per cell]  6 S 3.06-3.33
Ba 0.0000 0.1429 0.6155 [4 per cell]  8 S 3.18-3.53
Y 0.0000 0.4687 0.7746 [4 per cell]  5 S 2.59-2.80
Ho 0.0000 0.2173 0.3361 [4 per cell]  6 S 2.71-2.82
S 0.0000 0.0609 0.3782 [4 per cell]  2 Y 2.61, 1 Ho 2.77
S 0.0000 0.2782 0.9677 [4 per cell]  2 Ho 2.79, 1 Ba 3.06
S 0.0000 0.3161 0.7080 [4 per cell]  1 Y 2.80, 2 Ho 2.82
S 0.0000 0.3728 0.3143 [4 per cell]  1 Ho 2.71, 1 Y 2.80
S 0.0000 0.4915 0.0911 [4 per cell]  1 Y 2.59

---

# 3
Computed, not measured: crystalline TlAs2Ir at its relaxed geometry at the GGA-PBE level of DFT.

Output
As for the volume: 77 Å³ per cell. The total magnetization comes out at 0.00 μB/f.u. For the formation energy, the calculation gives 0.62 eV/atom. For the raw total energy, the calculation gives -18.03 eV/cell. The density of states at the Fermi level comes out at 2.97 states/eV/f.u.

Lattice parameters (Å, degrees): 4.9725 4.9725 3.1055 90.00 90.00 90.00
With the nearest neighbours (Å) after each atom.
Space group P4/mmm (No. 123)
Inequivalent atoms, fractional coordinates:
Tl 0.0000 0.0000 0.0000 [1 per cell]  8 As 2.93, 2 Tl 3.11
As 0.0000 0.5000 0.5000 [2 per cell]  4 Tl 2.93, 4 Ir 2.93, 2 As 3.11
Ir 0.5000 0.5000 0.0000 [1 per cell]  8 As 2.93, 2 Ir 3.11

---

# 4
Computed, not measured: crystalline ErAlPd at its relaxed geometry at the GGA-PBE level of DFT.

Output
As for the volume: 177 Å³ per cell. The total magnetization comes out at 0.00 μB/f.u. For the formation energy, the calculation gives -0.89 eV/atom. For the raw total energy, the calculation gives -48.48 eV/cell. The density of states at the Fermi level comes out at 1.89 states/eV/f.u.

Lattice parameters (Å, degrees): 7.1462 7.1462 4.0087 90.00 90.00 120.00
With the nearest neighbours (Å) after each atom.
Space group P-62m (No. 189)
Inequivalent atoms, fractional coordinates:
Er 0.0000 0.5848 0.0000 [3 per cell]  5 Pd 2.94-2.97, 6 Al 3.18-3.27
Al 0.0000 0.2395 0.5000 [3 per cell]  4 Pd 2.64-2.78
Pd 0.0000 0.0000 0.0000 [1 per cell]  6 Al 2.64
Pd 0.3333 0.6667 0.5000 [2 per cell]  3 Al 2.78, 6 Er 2.94

---

# 5
Computed, not measured: crystalline HoGaAg2S4 at its relaxed geometry at the GGA-PBE level of DFT.

Output
For the formation energy from raw total energies, the calculation gives -0.850 eV/atom. As for the volume: 368 Å³ per cell. The total magnetization comes out at 0.00 μB/f.u. For the raw total energy, the calculation gives -73.23 eV/cell.

Lattice parameters (Å, degrees): 7.5535 7.9009 7.9029 105.42 115.90 105.17
With the nearest neighbours (Å) after each atom.
Space group P1 (No. 1)
Inequivalent atoms, fractional coordinates:
Ho 0.0000 0.0000 0.0000 [1 per cell]  6 S 2.62-2.90
Ho 0.4833 0.4618 0.4890 [1 per cell]  5 S 2.60-2.85
Ga 0.0640 0.5500 0.9643 [1 per cell]  4 S 2.31-2.42
Ga 0.6093 0.6162 0.0046 [1 per cell]  4 S 2.26-2.37
Ag 0.1074 0.2271 0.5774 [1 per cell]  3 S 2.46-2.53
Ag 0.1324 0.6613 0.5200 [1 per cell]  4 S 2.51-2.63
Ag 0.6172 0.1459 0.0100 [1 per cell]  4 S 2.50-2.62
Ag 0.6253 0.0198 0.4227 [1 per cell]  3 S 2.47-2.54
S 0.0412 0.3074 0.2811 [1 per cell]  3 Ag 2.46-2.63, 2 Ho 2.66-2.71
S 0.4277 0.1611 0.2022 [1 per cell]  2 Ag 2.48-2.50, 2 Ho 2.60-2.62
S 0.4504 0.6542 0.2020 [1 per cell]  2 Ga 2.35-2.42, 1 Ag 2.54
S 0.5123 0.3173 0.7721 [1 per cell]  1 Ga 2.26, 1 Ag 2.53
S 0.5472 0.7921 0.8060 [1 per cell]  1 Ga 2.34, 1 Ag 2.60
S 0.9433 0.6642 0.7142 [1 per cell]  1 Ga 2.31, 1 Ag 2.51
S 0.9448 0.2165 0.7865 [1 per cell]  1 Ga 2.33, 2 Ag 2.46-2.47
S 0.9954 0.7420 0.2014 [1 per cell]  2 Ga 2.37-2.41, 1 Ag 2.60

---

# 6
Computed, not measured: crystalline Mn2Au at its relaxed geometry at the GGA-PBE level of DFT.

Output
As for the volume: 81 Å³ per cell. The total magnetization comes out at 0.00 μB/f.u. For the formation energy, the calculation gives 0.34 eV/atom. For the raw total energy, the calculation gives -41.18 eV/cell. The density of states at the Fermi level comes out at 4.02 states/eV/f.u.

Lattice parameters (Å, degrees): 9.1041 3.3226 2.7589 90.00 105.01 90.00
With the nearest neighbours (Å) after each atom.
Space group C2/m (No. 12)
Inequivalent atoms, fractional coordinates:
Mn 0.1959 0.0000 0.1546 [4 per cell]  2 Mn 2.21
Au 0.0000 0.5000 0.5000 [2 per cell]  10 Mn 2.68-2.78, 2 Au 2.76

---

# 7
Computed, not measured: crystalline La4RuAu at its relaxed geometry at the GGA-PBE level of DFT.

Output
As for the volume: 714 Å³ per cell. The total magnetization comes out at 0.00 μB/f.u. For the formation energy, the calculation gives -0.43 eV/atom. For the raw total energy, the calculation gives -139.26 eV/cell. The density of states at the Fermi level comes out at 6.93 states/eV/f.u.

Lattice parameters (Å, degrees): 8.7553 12.9523 6.5025 90.00 104.43 90.00
With the nearest neighbours (Å) after each atom.
Space group C2/c (No. 15)
Inequivalent atoms, fractional coordinates:
La 0.1084 0.1677 0.0332 [8 per cell]  2 Ru 2.85-2.88
La 0.1987 0.4182 0.4209 [8 per cell]  2 Au 3.13-3.25, 2 Ru 3.14-3.28
Ru 0.0000 0.9996 0.2500 [4 per cell]  6 La 2.85-3.14
Au 0.0000 0.3740 0.7500 [4 per cell]  8 La 3.13-3.41

---

# 8
Computed, not measured: crystalline Pm3Zn2Pd6 at its relaxed geometry at the GGA-PBE level of DFT.

Output
As for the volume: 884 Å³ per cell. The total magnetization comes out at 0.00 μB/f.u. For the formation energy, the calculation gives -0.76 eV/atom. For the raw total energy, the calculation gives -225.06 eV/cell. The density of states at the Fermi level comes out at 6.79 states/eV/f.u.

Lattice parameters (Å, degrees): 9.5977 9.5977 9.5977 90.00 90.00 90.00
With the nearest neighbours (Å) after each atom.
Space group Im-3m (No. 229)
Inequivalent atoms, fractional coordinates:
Pm 0.0000 0.0000 0.2990 [12 per cell]  8 Pd 2.98-3.21
Zn 0.2500 0.2500 0.2500 [8 per cell]  6 Pd 2.65
Pd 0.0000 0.3328 0.3328 [24 per cell]  2 Zn 2.65, 4 Pd 2.77

---

# 9
Computed, not measured: crystalline Ti2Ir2Pb at its relaxed geometry at the GGA-PBE level of DFT.

Output
As for the volume: 193 Å³ per cell. The total magnetization comes out at 0.00 μB/f.u. For the formation energy, the calculation gives -0.47 eV/atom. For the raw total energy, the calculation gives -79.18 eV/cell. The density of states at the Fermi level comes out at 1.89 states/eV/f.u.

Lattice parameters (Å, degrees): 4.2633 4.2633 10.6205 90.00 90.00 90.00
With the nearest neighbours (Å) after each atom.
Space group I4/mmm (No. 139)
Inequivalent atoms, fractional coordinates:
Ti 0.0000 0.5000 0.2500 [4 per cell]  4 Ir 2.53
Ir 0.0000 0.0000 0.1223 [4 per cell]  4 Ti 2.53, 1 Ir 2.60
Pb 0.0000 0.0000 0.5000 [2 per cell]  8 Ir 3.28, 8 Ti 3.40

---

# 10
Computed, not measured: crystalline K2YCd at its relaxed geometry at the GGA-PBE level of DFT.

Output
As for the volume: 302 Å³ per cell. The total magnetization comes out at 0.00 μB/f.u. For the formation energy, the calculation gives 0.32 eV/atom. For the raw total energy, the calculation gives -16.58 eV/cell. The density of states at the Fermi level comes out at 3.45 states/eV/f.u.

Lattice parameters (Å, degrees): 6.9675 13.6425 3.6450 90.00 119.44 90.00
With the nearest neighbours (Å) after each atom.
Space group C2/m (No. 12)
Inequivalent atoms, fractional coordinates:
K 0.2500 0.2500 0.0000 [4 per cell]  6 K 3.48-3.65, 2 Cd 3.86, 2 Y 3.86
Y 0.0000 0.0000 0.5000 [2 per cell]  4 Cd 3.48-3.60, 2 Y 3.65, 4 K 3.86
Cd 0.0000 0.5000 0.5000 [2 per cell]  4 Y 3.48-3.60, 2 Cd 3.65, 4 K 3.86